12
Lattice="3.433 -5.940 0.000 3.433 5.940 0.000 -2.288 0.000 6.479" Properties=species:S:1:pos:R:3 comment="Li2Ca3PaS6 (PBE, relaxed)" raw_formation_energy_mev_per_atom=-1803 dos_ef_per_ev_fu=3.10 sg=C2/m pbc="T T T"
Li 3.433 3.990 0.000
Li 3.433 -3.990 0.000
Ca -1.144 0.000 3.239
Ca 2.290 2.009 3.239
Ca 2.290 -2.009 3.239
Pa 3.433 0.000 0.000
S 0.024 1.945 4.908
S 1.189 0.000 1.550
S 0.024 -1.945 4.908
S 4.555 1.945 1.570
S 3.390 0.000 4.929
S 4.555 -1.945 1.570